Record 1
ReSeBr: optimized geometry, PBE.

The calculation puts the uncorrected formation energy at 545.0 meV/atom. The calculation puts the density at 7.9 Mg/m³. Its total magnetization is 0.0 μB per formula unit. The calculation puts the final energy at -63.88 eV/cell. As for the energy above the most stable polymorph in this dataset: 427 meV/atom.

It has space group Fmm2 (No. 42), with a = 3.194 Å, b = 6.060 Å, c = 14.965 Å, α = 90.00°, β = 90.00° and γ = 90.00°. The inequivalent atoms are Re at (0.000, 0.000, 0.000), Se at (0.000, 0.000, 0.619) and Br at (0.000, 0.000, 0.361).

Record 2
PuZrUO6: optimized geometry, PBE.

The calculation puts the uncorrected formation energy at -3146.5 meV/atom. The calculation puts the density at 8.2 Mg/m³. Its total magnetization is 6.0 μB per formula unit. The calculation puts the final energy at -184.47 eV/cell.

It has space group P-31c (No. 163), with a = 5.6910 Å, b = 5.6910 Å, c = 9.6495 Å, α = 90.00°, β = 90.00° and γ = 120.00°. The inequivalent atoms are Pu at (0.0000, 0.0000, 0.0000), Zr at (0.3333, 0.6667, 0.2500), U at (0.3333, 0.6667, 0.7500) and O at (0.0040, 0.3523, 0.1361).